[1]
Computed, not measured: a geometry-optimized BaGeMoO4 structure at the PBE with a Hubbard U level of DFT.

Cell and atoms, written as POSCAR:
```
BaGeMoO4
1.0
-5.0325 -0.5478 3.6417
-2.6587 -5.5801 0.8258
0.4402 -2.8782 5.5146
O Mo Ge Ba
4 1 1 1
Cartesian
-2.6507 -3.2923 3.6491
-4.0804 -6.2929 4.0932
-5.3569 -3.5869 5.6074
-2.4140 -4.8400 6.6145
-3.6255 -4.5030 4.9910
-1.8128 -2.2515 2.4955
-5.4383 -6.7546 7.4866
```

Values from the calculation:
The total moment comes out at 3.8 μB/cell. Its space-group type is F-43m. The total energy comes out at -6.043 eV per atom. The calculation puts the density of states at the Fermi level at 0.80 states/eV/atom.


[2]
Computed, not measured: a geometry-optimized BaGeMoO6 structure at the PBE with a Hubbard U level of DFT.

Cell and atoms, written as POSCAR:
```
BaGeMoO6
1.0
5.2189 0.0000 -0.0001
2.6095 4.5197 0.0001
0.0001 -0.0001 5.7728
O Mo Ba Ge
6 1 1 1
Cartesian
3.6323 2.7185 1.7883
1.5864 2.7185 3.9844
3.1475 0.0146 1.7883
4.1705 1.7864 3.9844
1.0483 1.7864 1.7883
2.0712 0.0146 3.9844
5.2188 3.0130 2.8863
5.2188 -0.0001 5.7727
2.6094 1.5065 2.8863
```

Values from the calculation:
The total moment comes out at 0.0 μB/cell. Its space-group type is P312. The total energy comes out at -6.796 eV per atom. The calculation puts the density of states at the Fermi level at 0.00 states/eV/atom.


[3]
Computed, not measured: a geometry-optimized Ba3Ge2MoO9 structure at the PBE with a Hubbard U level of DFT.

Cell and atoms, written as POSCAR:
```
Ba3Ge2MoO9
1.0
5.6835 0.0000 0.0000
-2.8418 4.9221 0.0000
0.0000 0.0000 7.0257
O Ba Ge Mo
9 3 2 1
Cartesian
-1.3775 4.0767 2.2757
1.3775 4.0767 2.2757
2.8418 0.0000 0.0000
-1.4209 2.4610 0.0000
2.8418 3.2313 4.7500
1.4209 2.4610 0.0000
4.2193 0.8454 4.7500
0.0000 1.6908 2.2757
1.4643 0.8454 4.7500
0.0000 0.0000 0.0000
0.0000 3.2814 4.7277
2.8418 1.6407 2.2980
0.0000 3.2814 1.1572
2.8418 1.6407 5.8685
0.0000 0.0000 3.5128
```

Values from the calculation:
The total moment comes out at 2.0 μB/cell. Its space-group type is P-3m1. The total energy comes out at -6.568 eV per atom. The calculation puts the density of states at the Fermi level at 0.00 states/eV/atom.


[4]
Computed, not measured: a geometry-optimized BaGeMoO5 structure at the PBE with a Hubbard U level of DFT.

Cell and atoms, written as POSCAR:
```
BaGeMoO5
1.0
-3.0068 3.4222 -3.9182
-3.8088 -1.2236 4.4834
5.1154 4.7137 3.0948
O Ba Ge Mo
10 2 2 2
Cartesian
-1.5437 1.4651 -0.1570
-2.5951 3.7799 1.0226
-3.2536 3.1562 -1.7879
-2.4879 0.1983 4.8168
1.5534 3.7561 5.4479
-0.5364 4.1098 -1.0013
0.7877 6.7140 -1.1568
-1.1638 2.8025 4.6612
0.8949 3.1324 2.6374
-0.1565 5.4472 3.8170
0.5631 5.4130 1.1960
-2.2633 1.4994 2.4639
-1.9762 3.1626 -0.5440
0.2760 3.7497 4.2040
2.5577 2.3568 1.5474
0.0000 0.0000 0.0000
```

Values from the calculation:
The total moment comes out at 4.0 μB/cell. Its space-group type is C2/c. The total energy comes out at -6.875 eV per atom.


[5]
Computed, not measured: a geometry-optimized Ba3Ge2MoO8 structure at the PBE with a Hubbard U level of DFT.

Cell and atoms, written as POSCAR:
```
Ba3Ge2MoO8
1.0
-3.7129 -3.7984 -2.4101
1.2070 -0.3167 5.6978
-5.8195 4.7392 1.4962
Ge O Ba Mo
2 8 3 1
Cartesian
-1.7102 -0.4371 3.3236
-6.6152 1.0612 1.4603
-3.2517 -1.3181 3.6011
-6.9073 0.0664 -0.0074
-5.0737 1.9422 1.1828
-2.1126 -2.6055 0.3027
-6.2128 3.2297 4.4812
-6.3112 -0.0899 2.8063
-1.4181 0.5577 4.7913
-2.0142 0.7141 1.9776
-4.2985 1.6707 3.9890
-4.0270 -1.0465 0.7949
0.0000 0.0000 0.0000
-2.9098 2.3696 0.7481
```

Values from the calculation:
The total moment comes out at 2.1 μB/cell. Its space-group type is P-3m1. The total energy comes out at -6.466 eV per atom. The calculation puts the density of states at the Fermi level at 0.30 states/eV/atom.


[6]
Computed, not measured: a geometry-optimized BaGe2MoO8 structure at the PBE with a Hubbard U level of DFT.

Cell and atoms, written as POSCAR:
```
BaGe2MoO8
1.0
-4.4209 -0.2344 2.0448
-1.3593 -4.0119 2.4162
1.3263 1.9505 8.9059
Ge O Mo Ba
2 8 1 1
Cartesian
-3.4647 -1.8505 9.7416
-0.9891 -0.4453 3.6253
-1.6259 -1.1042 2.1730
-3.1137 -0.7483 8.3742
-2.8279 -1.1916 11.1939
-2.2663 -0.4049 4.8803
-1.3549 0.5667 7.0064
-0.8166 -1.8182 7.8525
-1.7617 -2.7917 5.7419
-4.0484 -1.6912 6.2453
-2.2269 -1.1479 6.6834
0.0000 0.0000 0.0000
```

Values from the calculation:
The total moment comes out at 0.0 μB/cell. Its space-group type is R32. The total energy comes out at -6.528 eV per atom. The calculation puts the density of states at the Fermi level at 0.00 states/eV/atom.